# 1
Computed, not measured: a geometry-optimized FeOsPb structure at the GGA-PBE level of DFT.

Mass density: 12.6 g cm⁻³

Cell: 4.386 4.386 4.386 Å, 60.00 60.00 60.00°
Each line ends with the local moment (μB).
Sites, in units of the cell vectors:
Pb (0.000, 0.000, 0.000)  -0.01
Fe (0.500, 0.500, 0.500)  2.77
Os (0.250, 0.250, 0.250)  0.30



# 2
Computed, not measured: a geometry-optimized FeOsPb2 structure at the GGA-PBE level of DFT.

Mass density: 13.8 g cm⁻³

Cell: 8.825 8.825 8.825 Å, 21.30 21.30 21.30°
Each line ends with the local moment (μB).
Sites, in units of the cell vectors:
Pb (0.499, 0.499, 0.499)  -0.01
Pb (0.001, 0.001, 0.001)  -0.01
Os (0.750, 0.750, 0.750)  -0.01
Fe (0.250, 0.250, 0.250)  2.73



# 3
Computed, not measured: a geometry-optimized FeOsPb2 structure at the GGA-PBE level of DFT.

Mass density: 13.5 g cm⁻³

Cell: 7.347 7.347 6.005 Å, 52.29 52.29 90.00°
Sites, in units of the cell vectors:
Fe (0.250, 0.750, 0.500)
Os (0.750, 0.250, 0.500)
Pb (0.612, 0.125, 0.250)
Pb (0.875, 0.862, 0.750)
Pb (0.138, 0.625, 0.250)
Pb (0.375, 0.388, 0.750)
Fe (0.500, 0.500, 0.000)
Os (0.000, 0.000, 0.000)



DOS(E_F) per entry: 2.7; 5.0; 17.6 states/eV/cell
Electronic total energy per entry: -20.9; -23.4; -43.1 eV per cell
Polymorph energy (0 for the lowest one) per entry: 0.121; 0.506; 0.962 eV per atom